This record from Alexandria describes a geometry-optimized ScNbAgC2 structure. The functional is PBEsol.

Properties
Its calculated formation energy is 224 kJ per mole of atoms. As for the total energy: -5.683 eV per atom.

a b c (Å): 4.1840 4.1840 4.8285
angles (deg): 90.00 90.00 90.00
With the nearest neighbours (Å) after each atom.
Sites, in units of the cell vectors:
1 Sc 0.0000 0.0000 0.0000  4 C 2.09
2 Nb 0.0000 0.0000 0.5000  2 Sc 2.41
3 Ag 0.5000 0.5000 0.5000  4 Nb 2.96, 8 C 3.19
4 C 0.0000 0.5000 0.0000  2 Sc 2.09
5 C 0.5000 0.0000 0.0000  2 Sc 2.09